No. 1
Computed, not measured: crystalline TbZr4Hg5 at its relaxed geometry at the PBE level of DFT.

Results
DFT formation energy = -194 meV/atom
calculated volume = 226 Å³ per cell
symmetry = P4/mmm (123)

abc: 3.571 3.571 17.749
angles: 90.00 90.00 90.00
Positions (direct):
Tb 0.000 0.000 0.000
Zr 0.000 0.000 0.209
Zr 0.000 0.000 0.402
Zr 0.000 0.000 0.598
Zr 0.000 0.000 0.791
Hg 0.500 0.500 0.111
Hg 0.500 0.500 0.305
Hg 0.500 0.500 0.500
Hg 0.500 0.500 0.695
Hg 0.500 0.500 0.889

No. 2
Computed, not measured: crystalline Zr2HPdRh at its relaxed geometry at the PBE level of DFT.

Results
excess energy over the best structure of this formula in the dataset = 0.017 eV per atom
calculated volume = 75 Å³ per cell
symmetry = P4/mmm (123)

abc: 4.408 4.408 3.863
angles: 90.00 90.00 90.00
Positions (direct):
H 0.000 0.000 0.000
Rh 0.500 0.500 0.500
Zr 0.000 0.500 0.000
Zr 0.500 0.000 0.000
Pd 0.000 0.000 0.500

No. 3
Computed, not measured: crystalline CePu3Ga4 at its relaxed geometry at the PBE level of DFT.

Results
DFT formation energy = -331 meV/atom
calculated volume = 174 Å³ per cell
symmetry = Pmmm (47)

abc: 4.361 4.463 8.942
angles: 90.00 90.00 90.00
Site moments in Bohr magnetons follow the coordinates.
Positions (direct):
Ga 0.000 0.000 0.500  0.01
Ga 0.000 0.500 0.742  0.02
Ga 0.000 0.000 0.000  0.03
Ga 0.000 0.500 0.258  0.02
Ce 0.500 0.500 0.000  -0.60
Pu 0.500 0.000 0.246  -5.23
Pu 0.500 0.500 0.500  5.12
Pu 0.500 0.000 0.754  -5.23

No. 4
Computed, not measured: crystalline AcSbPtI at its relaxed geometry at the PBE level of DFT.

Results
total energy = -5.074 eV/atom
calculated volume = 284 Å³ per cell
symmetry = R-3m (166)

abc: 4.652 4.652 15.369
angles: 81.29 81.29 60.00
Positions (direct):
Ac 0.075 0.075 0.774
Ac 0.925 0.925 0.226
Sb 0.693 0.693 0.921
Sb 0.307 0.307 0.079
Pt 0.631 0.631 0.107
Pt 0.369 0.369 0.893
I 0.790 0.790 0.631
I 0.210 0.210 0.369

No. 5
Computed, not measured: crystalline MgPaMnRh at its relaxed geometry at the PBE level of DFT.

Results
DFT formation energy = -190 meV/atom
calculated volume = 71 Å³ per cell
symmetry = F-43m (216)

abc: 4.648 4.648 4.648
angles: 60.00 60.00 60.00
Site moments in Bohr magnetons follow the coordinates.
Positions (direct):
Mg 0.000 0.000 0.000  -0.02
Pa 0.500 0.500 0.500  -0.47
Rh 0.750 0.750 0.750  0.13
Mn 0.250 0.250 0.250  1.92

No. 6
Computed, not measured: crystalline PSN at its relaxed geometry at the PBE level of DFT.

Results
excess energy over the best structure of this formula in the dataset = 0.893 eV per atom
calculated volume = 48 Å³ per cell
symmetry = Pmm2 (25)

abc: 4.127 2.310 5.010
angles: 90.00 90.00 90.00
Positions (direct):
P 0.000 0.000 0.754
S 0.500 0.000 0.501
N 0.000 0.000 0.074

No. 7
Computed, not measured: crystalline Y2Ta2Si2C at its relaxed geometry at the PBE level of DFT.

Results
total energy = -8.705 eV/atom
calculated volume = 134 Å³ per cell
symmetry = I4/mmm (139)

abc: 4.230 4.230 8.057
angles: 105.22 105.22 90.00
Positions (direct):
Y 0.169 0.169 0.338
Y 0.831 0.831 0.662
Ta 0.000 0.500 0.000
Ta 0.500 0.000 0.000
Si 0.376 0.376 0.751
Si 0.624 0.624 0.249
C 0.000 0.000 0.000

No. 8
Computed, not measured: crystalline LiTh2Hg at its relaxed geometry at the PBE level of DFT.

Results
DFT formation energy = 177 meV/atom
excess energy over the best structure of this formula in the dataset = 0.202 eV per atom
calculated volume = 120 Å³ per cell
symmetry = R-3m (166)

abc: 3.375 3.375 12.277
angles: 82.10 82.10 60.00
Positions (direct):
Hg 0.500 0.500 0.500
Th 0.092 0.092 0.724
Th 0.908 0.908 0.276
Li 0.000 0.000 0.000

No. 9
Computed, not measured: crystalline YGaIr2 at its relaxed geometry at the PBE level of DFT.

Results
DFT formation energy = -221 meV/atom
calculated volume = 152 Å³ per cell
symmetry = I-42d (122)

abc: 7.251 7.251 5.883
angles: 51.95 51.95 90.00
Positions (direct):
Y 0.000 0.000 0.000
Y 0.750 0.250 0.500
Ir 0.575 0.125 0.250
Ir 0.175 0.625 0.250
Ir 0.375 0.425 0.750
Ir 0.875 0.825 0.750
Ga 0.500 0.500 0.000
Ga 0.250 0.750 0.500

No. 10
Computed, not measured: crystalline BePt2W at its relaxed geometry at the PBE level of DFT.

Results
DFT formation energy = -200 meV/atom
calculated volume = 55 Å³ per cell
symmetry = Immm (71)

abc: 4.956 4.956 4.956
angles: 144.39 127.87 64.73
Positions (direct):
Be 0.250 0.750 0.500
W 0.750 0.250 0.500
Pt 0.035 0.035 0.000
Pt 0.465 0.465 0.000

No. 11
Computed, not measured: crystalline Na2BiAu at its relaxed geometry at the PBE level of DFT.

Results
DFT formation energy = -277 meV/atom
calculated volume = 102 Å³ per cell
symmetry = P4/mmm (123)

abc: 3.420 3.420 8.691
angles: 90.00 90.00 90.00
Positions (direct):
Na 0.000 0.000 0.782
Na 0.000 0.000 0.218
Au 0.500 0.500 0.000
Bi 0.500 0.500 0.500

No. 12
Computed, not measured: crystalline BaCd2SbRu at its relaxed geometry at the PBE level of DFT.

Results
total energy = -3.097 eV/atom
calculated volume = 153 Å³ per cell
symmetry = P4/mmm (123)

abc: 5.284 5.479 5.284
angles: 90.00 90.00 90.00
Site moments in Bohr magnetons follow the coordinates.
Positions (direct):
Sb 0.500 0.500 0.500  0.13
Ru 0.000 0.000 0.000  0.37
Ba 0.000 0.500 0.000  -0.01
Cd 0.000 0.000 0.500  0.00
Cd 0.500 0.000 0.000  -0.01

Number 1: total magnetic moment 0.0000 μB/atom. Number 2: total magnetic moment 0.0000 μB/atom. Number 3: total magnetic moment 0.7776 μB/atom. Number 4: total magnetic moment 0.0000 μB/atom. Number 5: total magnetic moment 0.3693 μB/atom. Number 6: total magnetic moment 0.0000 μB/atom. Number 7: total magnetic moment 0.0000 μB/atom. Number 8: total magnetic moment 0.0000 μB/atom. Number 9: total magnetic moment 0.0000 μB/atom. Number 10: total magnetic moment 0.0000 μB/atom. Number 11: total magnetic moment 0.0000 μB/atom. Number 12: total magnetic moment 0.1310 μB/atom.